DFT (GGA-PBE) results for an optimized crystal structure of GdFe5P3.

abc: 11.811 3.654 10.268
angles: 90.00 90.00 90.00
Last column: magnetic moment on the atom in μB.
Positions (direct):
P: 0.397 0.250 0.603  -0.01
Fe: 0.201 0.250 0.624  1.17
P: 0.371 0.250 0.232  -0.02
P: 0.888 0.750 0.579  -0.02
Fe: 0.799 0.750 0.376  1.17
Fe: 0.990 0.250 0.096  0.46
Fe: 0.512 0.750 0.205  -1.18
Fe: 0.325 0.750 0.719  1.01
P: 0.129 0.750 0.732  -0.02
Fe: 0.010 0.750 0.904  0.46
Fe: 0.490 0.250 0.404  0.46
Fe: 0.488 0.250 0.795  -1.19
P: 0.603 0.750 0.397  -0.01
P: 0.897 0.250 0.897  -0.01
Fe: 0.012 0.750 0.295  -1.19
Gd: 0.297 0.750 0.419  -0.01
Fe: 0.933 0.250 0.464  0.08
Fe: 0.067 0.750 0.536  0.08
Fe: 0.433 0.250 0.036  0.08
Fe: 0.825 0.750 0.781  1.01
Fe: 0.299 0.750 0.124  1.16
Fe: 0.701 0.250 0.876  1.16
Fe: 0.175 0.250 0.219  1.01
P: 0.629 0.750 0.768  -0.02
P: 0.388 0.750 0.921  -0.02
Gd: 0.703 0.250 0.581  -0.01
Fe: 0.675 0.250 0.281  1.01
Gd: 0.797 0.750 0.081  -0.01
P: 0.871 0.250 0.268  -0.02
P: 0.112 0.250 0.421  -0.02
Fe: 0.510 0.750 0.596  0.46
P: 0.103 0.750 0.103  -0.01
Fe: 0.567 0.750 0.964  0.08
Gd: 0.203 0.250 0.919  -0.01
P: 0.612 0.250 0.079  -0.02
Fe: 0.988 0.250 0.705  -1.19

Results
Energy in eV per atom: -7.67